(1)
SrSbTe: relaxed, PBE.

Density of states at the Fermi level: 2.3 states/eV/f.u.
Energy relative to the elements, uncorrected: -0.46 eV/atom

a = 3.5007 Å, b = 3.5007 Å, c = 17.1561 Å
α = 90.00°, β = 90.00°, γ = 90.00°
Last column: nearest neighbours and their distance in Å.
Space group I4mm (No. 107)
One atom of each set of equivalent atoms:
Sr1 0.0000 0.0000 0.0000 (multiplicity 2)  4 Te 3.39, 4 Sr 3.50, 4 Sb 3.51
Sb1 0.0000 0.0000 0.6452 (multiplicity 2)  4 Sb 3.50, 4 Sr 3.51
Te1 0.0000 0.0000 0.3649 (multiplicity 2)  4 Sr 3.39, 4 Te 3.50

(2)
Tl3Se2S4: relaxed, PBE.

Density of states at the Fermi level: 4.0 states/eV/f.u.
Energy relative to the elements, uncorrected: -0.12 eV/atom

a = 12.1937 Å, b = 12.8722 Å, c = 7.1046 Å
α = 90.00°, β = 97.61°, γ = 90.00°
Last column: nearest neighbours and their distance in Å.
Space group C2/c (No. 15)
One atom of each set of equivalent atoms:
Tl1 0.0000 0.1292 0.2500 (multiplicity 4)  6 S 3.21-3.33
Tl2 0.1452 0.4095 0.6620 (multiplicity 8)  4 S 3.08-3.44
Se1 0.2105 0.1579 0.8043 (multiplicity 8)  2 S 2.20-2.23
S1 0.1089 0.3509 0.1220 (multiplicity 8)  1 Se 2.20
S2 0.1743 0.0344 0.5850 (multiplicity 8)  1 Se 2.23

(3)
PrYMgSc: relaxed, PBE.

Density of states at the Fermi level: 5.0 states/eV/f.u.
Energy relative to the elements: 0.1 eV per formula unit

a = 7.7308 Å, b = 7.7308 Å, c = 7.7308 Å
α = 90.00°, β = 90.00°, γ = 90.00°
Last column: nearest neighbours and their distance in Å.
Space group F-43m (No. 216)
One atom of each set of equivalent atoms:
Pr1 0.0000 0.0000 0.0000 (multiplicity 4)  4 Sc 3.35, 4 Mg 3.35
Y1 0.0000 0.0000 0.5000 (multiplicity 4)  4 Mg 3.35, 4 Sc 3.35
Mg1 0.2500 0.2500 0.2500 (multiplicity 4)  4 Pr 3.35, 4 Y 3.35
Sc1 0.2500 0.2500 0.7500 (multiplicity 4)  4 Pr 3.35, 4 Y 3.35

(4)
FeCoCl2: relaxed, PBE.

Density of states at the Fermi level: 4.7 states/eV/f.u.
Energy relative to the elements, uncorrected: 0.30 eV/atom

a = 3.0377 Å, b = 5.8589 Å, c = 7.5513 Å
α = 90.00°, β = 90.00°, γ = 90.00°
Last column: nearest neighbours and their distance in Å.
Space group Immm (No. 71)
One atom of each set of equivalent atoms:
Fe1 0.0000 0.0000 0.0000 (multiplicity 2)  4 Cl 2.45
Co1 0.0000 0.0000 0.5000 (multiplicity 2)  4 Cl 2.40
Cl1 0.0000 0.5000 0.2453 (multiplicity 4)  2 Co 2.40, 2 Fe 2.45

(5)
CaEr2In9: relaxed, PBE.

Density of states at the Fermi level: 3.5 states/eV/f.u.
Energy relative to the elements: -4.4 eV per formula unit

a = 4.6565 Å, b = 4.6565 Å, c = 13.9501 Å
α = 90.00°, β = 90.00°, γ = 90.00°
Last column: nearest neighbours and their distance in Å.
Space group P4/mmm (No. 123)
One atom of each set of equivalent atoms:
Ca1 0.0000 0.0000 0.0000 (multiplicity 1)  12 In 3.29-3.32
Er1 0.0000 0.0000 0.3368 (multiplicity 2)  12 In 3.26-3.30
In1 0.0000 0.5000 0.1695 (multiplicity 4)  8 In 3.27-3.32, 2 Er 3.30, 2 Ca 3.32
In2 0.0000 0.5000 0.5000 (multiplicity 2)  4 Er 3.26, 8 In 3.29
In3 0.5000 0.5000 0.0000 (multiplicity 1)  4 Ca 3.29, 8 In 3.32
In4 0.5000 0.5000 0.3337 (multiplicity 2)  8 In 3.27-3.29, 4 Er 3.29

(6)
PrPbBr: relaxed, PBE.

Density of states at the Fermi level: 0.3 states/eV/f.u.
Energy relative to the elements, uncorrected: -0.67 eV/atom

a = 5.6658 Å, b = 17.5769 Å, c = 5.0292 Å
α = 90.00°, β = 90.00°, γ = 90.00°
Last column: nearest neighbours and their distance in Å.
Space group Cmcm (No. 63)
One atom of each set of equivalent atoms:
Pr1 0.0000 0.1239 0.2500 (multiplicity 4)  2 Br 2.95, 2 Pb 3.12
Pb1 0.0000 0.4502 0.7500 (multiplicity 4)  2 Pb 3.06, 2 Pr 3.12
Br1 0.0000 0.2113 0.7500 (multiplicity 4)  2 Pr 2.95